(1)
Entry from Alexandria: crystalline Be2HgCl at its relaxed geometry (PBE).

Unit cell a=3.0513 b=6.1457 c=7.4521 alpha=90.00 beta=90.00 gamma=90.00
Space group Cmmm (No. 65)
Symmetry-distinct sites (fractional):
Be1 0.0000 0.0000 0.2430
Hg1 0.0000 0.5000 0.5000
Cl1 0.0000 0.5000 0.0000

Summary:
- formation energy without anion corrections (meV/atom) = 399
- total moment (μB/f.u.) = 0.0
- offset from the most stable computed form (meV/atom) = 378



(2)
Entry from Alexandria: crystalline BeHgCl2 at its relaxed geometry (PBE).

Unit cell a=12.8207 b=3.1091 c=6.3494 alpha=90.00 beta=113.17 gamma=90.00
Space group Cm (No. 8)
Symmetry-distinct sites (fractional):
Be1 0.0000 0.0000 0.0000
Hg1 0.1903 0.0000 0.4144
Cl1 0.0627 0.5000 0.8497
Cl2 0.4146 0.0000 0.1009

Summary:
- formation energy without anion corrections (meV/atom) = -788
- total moment (μB/f.u.) = 0.0
- offset from the most stable computed form (meV/atom) = 220



(3)
Entry from Alexandria: crystalline BeHgCl2 at its relaxed geometry (PBE).

Unit cell a=3.1998 b=7.0106 c=8.9032 alpha=90.00 beta=90.00 gamma=90.00
Space group Imm2 (No. 44)
Symmetry-distinct sites (fractional):
Be1 0.0000 0.0000 0.0000
Hg1 0.0000 0.5000 0.7252
Cl1 0.0000 0.0000 0.4729
Cl2 0.0000 0.5000 0.3547

Summary:
- formation energy without anion corrections (meV/atom) = -454
- total moment (μB/f.u.) = 0.0
- offset from the most stable computed form (meV/atom) = 554



(4)
Entry from Alexandria: crystalline BeHgCl2 at its relaxed geometry (PBE).

Unit cell a=4.8951 b=4.8951 c=3.5281 alpha=90.00 beta=90.00 gamma=90.00
Space group P4/mmm (No. 123)
Symmetry-distinct sites (fractional):
Be1 0.0000 0.0000 0.0000
Hg1 0.5000 0.5000 0.0000
Cl1 0.0000 0.5000 0.5000

Summary:
- formation energy without anion corrections (meV/atom) = 408
- total moment (μB/f.u.) = 0.2
- offset from the most stable computed form (meV/atom) = 1416



(5)
Entry from Alexandria: crystalline Be2In2HgCl6 at its relaxed geometry (PBE).

Unit cell a=7.0226 b=7.6523 c=7.9577 alpha=77.32 beta=78.76 gamma=63.78
Space group P-1 (No. 2)
Symmetry-distinct sites (fractional):
Be1 0.2430 0.2221 0.0775
In1 0.2534 0.8571 0.7452
Hg1 0.5000 0.5000 0.5000
Cl1 0.0276 0.2484 0.9413
Cl2 0.1996 0.1741 0.3258
Cl3 0.4928 0.2576 0.9562

Summary:
- formation energy without anion corrections (meV/atom) = -1046
- total moment (μB/f.u.) = 0.0



(6)
Entry from Alexandria: crystalline KBe2HgCl8 at its relaxed geometry (PBE).

Unit cell a=6.1625 b=6.1625 c=27.8000 alpha=90.00 beta=90.00 gamma=120.00
Space group R-3 (No. 148, hexagonal axes)
Symmetry-distinct sites (fractional):
K1 0.0000 0.0000 0.0000
Be1 0.0000 0.0000 0.2464
Hg1 0.0000 0.0000 0.5000
Cl1 0.0000 0.0000 0.3187
Cl2 0.0103 0.6901 0.7753

Summary:
- formation energy without anion corrections (meV/atom) = -1098
- total moment (μB/f.u.) = 0.9



(7)
Entry from Alexandria: crystalline K2Be2HgCl6 at its relaxed geometry (PBE).

Unit cell a=7.2128 b=7.7364 c=8.5794 alpha=87.76 beta=65.65 gamma=70.15
Space group P-1 (No. 2)
Symmetry-distinct sites (fractional):
K1 0.1715 0.1988 0.2914
Be1 0.2315 0.1240 0.7076
Hg1 0.5000 0.5000 0.0000
Cl1 0.1158 0.3709 0.6555
Cl2 0.2513 0.9197 0.5705
Cl3 0.3176 0.0729 0.8940

Summary:
- formation energy without anion corrections (meV/atom) = -1469
- total moment (μB/f.u.) = 0.0



(8)
Entry from Alexandria: crystalline K2BeHgCl at its relaxed geometry (PBE).

Unit cell a=6.5532 b=6.5532 c=5.9726 alpha=90.00 beta=90.00 gamma=90.00
Space group P4/mmm (No. 123)
Symmetry-distinct sites (fractional):
K1 0.0000 0.5000 0.0000
Be1 0.0000 0.0000 0.5000
Hg1 0.5000 0.5000 0.0000
Cl1 0.5000 0.5000 0.5000

Summary:
- formation energy without anion corrections (meV/atom) = 239
- total moment (μB/f.u.) = 0.0



(9)
Entry from Alexandria: crystalline NaBe2HgCl at its relaxed geometry (PBE).

Unit cell a=5.7985 b=5.7985 c=4.9860 alpha=90.00 beta=90.00 gamma=90.00
Space group P4/mmm (No. 123)
Symmetry-distinct sites (fractional):
Na1 0.0000 0.0000 0.0000
Be1 0.0000 0.5000 0.0000
Hg1 0.5000 0.5000 0.5000
Cl1 0.0000 0.0000 0.5000

Summary:
- formation energy without anion corrections (meV/atom) = 859
- total moment (μB/f.u.) = 0.0



(10)
Entry from Alexandria: crystalline Rb2BeHgCl6 at its relaxed geometry (PBE).

Unit cell a=7.2696 b=7.2696 c=10.6952 alpha=90.00 beta=90.00 gamma=90.00
Space group I4/mmm (No. 139)
Symmetry-distinct sites (fractional):
Rb1 0.0000 0.5000 0.2500
Be1 0.0000 0.0000 0.0000
Hg1 0.0000 0.0000 0.5000
Cl1 0.0000 0.0000 0.2768
Cl2 0.2103 0.2103 0.0000

Summary:
- formation energy without anion corrections (meV/atom) = -1279
- total moment (μB/f.u.) = 0.0



(11)
Entry from Alexandria: crystalline RbBe2HgCl8 at its relaxed geometry (PBE).

Unit cell a=6.1978 b=6.1978 c=28.3601 alpha=90.00 beta=90.00 gamma=120.00
Space group R-3 (No. 148, hexagonal axes)
Symmetry-distinct sites (fractional):
Rb1 0.0000 0.0000 0.0000
Be1 0.0000 0.0000 0.2447
Hg1 0.0000 0.0000 0.5000
Cl1 0.0000 0.0000 0.3155
Cl2 0.0073 0.6900 0.7766

Summary:
- formation energy without anion corrections (meV/atom) = -1110
- total moment (μB/f.u.) = 0.9



(12)
Entry from Alexandria: crystalline BeHgS2Cl at its relaxed geometry (PBE).

Unit cell a=5.0201 b=5.0201 c=5.0535 alpha=90.00 beta=90.00 gamma=90.00
Space group P4/mmm (No. 123)
Symmetry-distinct sites (fractional):
Be1 0.0000 0.0000 0.0000
Hg1 0.5000 0.5000 0.5000
S1 0.0000 0.5000 0.5000
Cl1 0.5000 0.5000 0.0000

Summary:
- formation energy without anion corrections (meV/atom) = 1015
- total moment (μB/f.u.) = 0.0
- offset from the most stable computed form (meV/atom) = 898